{
  "formula": "ScCdAu2",
  "functional": "SCAN",
  "state": "single point on PBEsol structure",
  "lattice": [[3.3229, 0.0000, 0.0000], [0.0000, 3.3229, 0.0000], [0.0000, 0.0000, 6.7102]],
  "species": ["Sc", "Cd", "Au", "Au"],
  "frac_coords": [[0.0000, 0.0000, 0.0000], [0.0000, 0.0000, 0.5000], [0.5000, 0.5000, 0.2371], [0.5000, 0.5000, 0.7629]],
  "vol_a3_per_atom": 18.5,
  "e_form_mev_per_atom": -745
}

=====

{
  "formula": "LiMgRh2",
  "functional": "SCAN",
  "state": "single point on PBEsol structure",
  "lattice": [[1.3774, 0.7952, 9.0798], [-1.3774, 0.7952, 9.0798], [0.0000, -1.5905, 9.0798]],
  "species": ["Li", "Mg", "Rh", "Rh"],
  "frac_coords": [[0.0000, 0.0000, 0.0000], [0.7653, 0.7653, 0.7653], [0.2565, 0.2565, 0.2565], [0.5119, 0.5119, 0.5119]],
  "vol_a3_per_atom": 14.9,
  "e_form_mev_per_atom": -36
}